(1)
PrInPt2 | PBE-GGA | relaxed

Geometry as POSCAR:
```
PrInPt2
1.0
3.550 0.000 0.000
0.000 3.550 0.000
0.000 0.000 6.731
Pr In Pt
1 1 2
Direct
0.000 0.000 0.000 Pr
0.000 0.000 0.500 In
0.500 0.500 0.282 Pt
0.500 0.500 0.718 Pt
```

Summary:
The value obtained for the total moment is 0.000 μB/cell. The calculation puts the formation energy at -0.73 eV/atom. The density of states at the Fermi level comes out at 1.82 states/eV/f.u. As for the density: 12640 kg/m³.


(2)
Pr4InPt2 | PBE-GGA | relaxed

Geometry as POSCAR:
```
Pr4InPt2
1.0
0.000 6.507 7.214
4.740 0.000 7.214
4.740 6.507 0.000
Pr In Pt
8 2 4
Direct
0.140 0.272 0.315 Pr
0.226 0.685 0.728 Pr
0.272 0.140 0.774 Pr
0.315 0.774 0.140 Pr
0.685 0.226 0.860 Pr
0.728 0.860 0.226 Pr
0.774 0.315 0.272 Pr
0.860 0.728 0.685 Pr
0.375 0.375 0.375 In
0.625 0.625 0.625 In
0.000 0.000 0.000 Pt
0.000 0.000 0.500 Pt
0.000 0.500 0.000 Pt
0.500 0.000 0.000 Pt
```

Summary:
The value obtained for the total moment is 0.000 μB/cell. The calculation puts the formation energy at -0.64 eV/atom. The density of states at the Fermi level comes out at 6.00 states/eV/f.u. As for the density: 7975 kg/m³.